[1]
Below is crystalline Na3DyHo2S6 at its relaxed geometry, with properties calculated at the PBE level.

Values from the calculation:
- energy (eV per atom) = -5.3917
- energy relative to the elements, uncorrected (eV per atom) = -1.852

a b c (Å): 6.8801 11.9172 7.0629
angles (deg): 90.00 108.94 90.00
Last column: nearest neighbours and their distance in Å.
Space group C2/m (No. 12)
Unique sites:
Na 0.0000 0.0000 0.0000 [2 per cell]  6 S 2.93-2.94
Na 0.0000 0.3335 0.0000 [4 per cell]  6 S 2.93-2.94
Dy 0.0000 0.5000 0.5000 [2 per cell]  6 S 2.75
Ho 0.0000 0.1667 0.5000 [4 per cell]  6 S 2.74
S 0.2409 0.0000 0.7261 [4 per cell]  2 Ho 2.74, 1 Dy 2.75, 3 Na 2.93-2.94
S 0.2425 0.3328 0.7260 [8 per cell]  2 Ho 2.74, 1 Dy 2.75, 3 Na 2.93-2.94

=====

[2]
Below is crystalline Tm2ThIn2Hg2 at its relaxed geometry, with properties calculated at the PBE level.

Values from the calculation:
- energy (eV per atom) = -3.3981
- energy relative to the elements (eV per atom) = -0.192

a b c (Å): 4.9621 4.9621 26.1918
angles (deg): 90.00 90.00 120.00
Last column: nearest neighbours and their distance in Å.
Space group R-3m (No. 166, hexagonal axes)
Unique sites:
Tm 0.0000 0.0000 0.1321 [6 per cell]  3 Hg 3.00, 3 In 3.35
Th 0.0000 0.0000 0.0000 [3 per cell]  6 In 3.35, 2 Tm 3.46
In 0.0000 0.0000 0.2672 [6 per cell]  3 Hg 2.99, 3 Tm 3.35, 3 Th 3.35
Hg 0.0000 0.0000 0.4320 [6 per cell]  3 In 2.99, 3 Tm 3.00

=====

[3]
Below is crystalline Sr3PrIr8 at its relaxed geometry, with properties calculated at the PBE level.

Values from the calculation:
- energy (eV per atom) = -7.0927
- energy relative to the elements (eV per atom) = -0.367

a b c (Å): 5.4775 5.4775 26.8067
angles (deg): 90.00 90.00 120.00
Last column: nearest neighbours and their distance in Å.
Space group R3m (No. 160, hexagonal axes)
Unique sites:
Sr 0.0000 0.0000 0.0000 [3 per cell]  12 Ir 3.18-3.22, 1 Sr 3.32, 3 Pr 3.37
Sr 0.0000 0.0000 0.1239 [3 per cell]  12 Ir 3.21-3.23, 4 Sr 3.32-3.34
Sr 0.0000 0.0000 0.4972 [3 per cell]  12 Ir 3.20-3.24, 3 Sr 3.34, 1 Pr 3.39
Pr 0.0000 0.0000 0.6236 [3 per cell]  12 Ir 3.18-3.21, 4 Sr 3.37-3.39
Ir 0.0000 0.0000 0.3112 [3 per cell]  6 Ir 2.72
Ir 0.0000 0.0000 0.8111 [3 per cell]  6 Ir 2.75
Ir 0.0015 0.5008 0.5620 [9 per cell]  6 Ir 2.72-2.75
Ir 0.1675 0.3351 0.3935 [9 per cell]  6 Ir 2.72-2.75

=====

[4]
Below is crystalline VZnCdAu2 at its relaxed geometry, with properties calculated at the PBE level.

Values from the calculation:
- energy (eV per atom) = -2.8652
- energy relative to the elements (eV per atom) = 0.707

a b c (Å): 4.9869 4.9869 4.9279
angles (deg): 90.00 90.00 90.00
Last column: nearest neighbours and their distance in Å.
Space group P4/mmm (No. 123)
Unique sites:
V 0.0000 0.0000 0.0000 [1 per cell]  2 Zn 2.46, 4 Au 2.49
Zn 0.0000 0.0000 0.5000 [1 per cell]  2 V 2.46
Cd 0.5000 0.5000 0.5000 [1 per cell]  8 Au 3.51, 4 Zn 3.53
Au 0.0000 0.5000 0.0000 [2 per cell]  2 V 2.49

=====

[5]
Below is crystalline HfTi2CdC at its relaxed geometry, with properties calculated at the PBE level.

Values from the calculation:
- energy (eV per atom) = -5.4074
- energy relative to the elements (eV per atom) = 1.769
- offset from the most stable computed form (meV/atom) = 2194.2

a b c (Å): 5.1752 5.1752 3.8605
angles (deg): 90.00 90.00 90.00
Last column: nearest neighbours and their distance in Å.
Space group P4/mmm (No. 123)
Unique sites:
Hf 0.0000 0.0000 0.0000 [1 per cell]  8 Ti 3.23
Ti 0.0000 0.5000 0.5000 [2 per cell]  2 Cd 2.59
Cd 0.5000 0.5000 0.5000 [1 per cell]  2 C 1.93
C 0.5000 0.5000 0.0000 [1 per cell]  2 Cd 1.93

=====

[6]
Below is crystalline KLi2Au at its relaxed geometry, with properties calculated at the PBE level.

Values from the calculation:
- energy (eV per atom) = -2.0409
- energy relative to the elements (eV per atom) = 0.010

a b c (Å): 6.4160 9.9570 3.7102
angles (deg): 90.00 123.03 90.00
Last column: nearest neighbours and their distance in Å.
Space group C2/m (No. 12)
Unique sites:
K 0.0000 0.0000 0.0000 [2 per cell]  4 Li 2.99, 4 Au 3.21-3.33
Li 0.2500 0.2500 0.5000 [4 per cell]  2 K 2.99, 2 Au 2.99, 4 Li 3.21-3.33
Au 0.0000 0.5000 0.0000 [2 per cell]  4 Li 2.99, 4 K 3.21-3.33